# 1
The following is a DFT calculation (GGA-PBE) of crystalline SmAuCl6 at its relaxed geometry. Values from VASP.

```
&SYSTEM
  ibrav = 0, nat = 8, ntyp = 3
/
ATOMIC_SPECIES
Sm 150.36 Sm.upf
Au 196.97 Au.upf
Cl 35.45 Cl.upf
CELL_PARAMETERS angstrom
5.792 0.000 0.000
0.192 7.031 0.000
2.353 3.065 6.164
ATOMIC_POSITIONS crystal
Sm 0.000 0.000 0.000
Au 0.500 0.500 0.000
Cl 0.008 0.208 0.606
Cl 0.298 0.391 0.821
Cl 0.421 0.846 0.812
Cl 0.579 0.154 0.188
Cl 0.702 0.609 0.179
Cl 0.992 0.792 0.394
```



# 2
! SmAuCl GGA-PBE relaxed; values from VASP
&SYSTEM
  ibrav = 0, nat = 6, ntyp = 3
/
ATOMIC_SPECIES
Sm 150.36 Sm.upf
Au 196.97 Au.upf
Cl 35.45 Cl.upf
CELL_PARAMETERS angstrom
4.868 0.000 0.000
0.000 4.657 0.000
-1.180 0.000 6.988
ATOMIC_POSITIONS crystal
Sm 0.189 0.250 0.240
Sm 0.811 0.750 0.760
Au 0.346 0.750 0.017
Au 0.654 0.250 0.983
Cl 0.246 0.750 0.506
Cl 0.754 0.250 0.494
! N(E_F) = 2.57 states/eV per cell



# 3
! Sm3TeAuCl GGA-PBE relaxed; values from VASP
&SYSTEM
  ibrav = 0, nat = 12, ntyp = 4
/
ATOMIC_SPECIES
Sm 150.36 Sm.upf
Te 127.60 Te.upf
Au 196.97 Au.upf
Cl 35.45 Cl.upf
CELL_PARAMETERS angstrom
7.996 0.000 0.000
0.000 4.198 0.000
-3.487 0.000 10.032
ATOMIC_POSITIONS crystal
Sm 0.027 0.250 0.282
Sm 0.222 0.250 0.012
Sm 0.378 0.750 0.593
Sm 0.622 0.250 0.407
Sm 0.778 0.750 0.988
Sm 0.973 0.750 0.718
Te 0.321 0.750 0.263
Te 0.679 0.250 0.737
Au 0.108 0.250 0.580
Au 0.892 0.750 0.420
Cl 0.363 0.750 0.882
Cl 0.637 0.250 0.118
! N(E_F) = 8.21 states/eV per cell



# 4
! SnAu3Cl GGA-PBE relaxed; values from VASP
&SYSTEM
  ibrav = 0, nat = 5, ntyp = 3
/
ATOMIC_SPECIES
Sn 118.71 Sn.upf
Au 196.97 Au.upf
Cl 35.45 Cl.upf
CELL_PARAMETERS angstrom
5.005 0.000 0.000
0.000 5.005 0.000
0.000 0.000 5.005
ATOMIC_POSITIONS crystal
Sn 0.000 0.000 0.000
Au 0.000 0.500 0.500
Au 0.500 0.000 0.500
Au 0.500 0.500 0.000
Cl 0.500 0.500 0.500
! Distance to the lowest polymorph of the same formula = 248 meV/atom
! N(E_F) = 5.25 states/eV per cell



Electronic total energy? In order: -28.32 -27.40 -58.08 -11.92 eV per cell.
Formation energy without anion corrections? In order: -1155 -1286 -1103 753 meV/atom.
M_tot? In order: 0.0 0.0 0.0 0.0 μB/f.u..